SCAN NaSmSiO4, PBEsol geometry; formation energy without anion corrections = -306.56 kJ per mole of atoms; total magnetic moment = 0.00 μB/cell; uncorrected energy = -15.120 eV/atom
1.0
-5.894 5.894 2.664
5.894 -5.894 2.664
5.894 5.894 -2.664
Na Sm Si O
4 4 4 16
Direct
0.087 0.393 0.480 Na
0.393 0.913 0.306 Na
0.607 0.087 0.694 Na
0.913 0.607 0.520 Na
0.122 0.809 0.931 Sm
0.191 0.122 0.314 Sm
0.809 0.878 0.686 Sm
0.878 0.191 0.069 Sm
0.262 0.598 0.860 Si
0.402 0.262 0.664 Si
0.598 0.738 0.336 Si
0.738 0.402 0.140 Si
0.048 0.281 0.846 O
0.121 0.604 0.725 O
0.202 0.048 0.767 O
0.269 0.307 0.576 O
0.281 0.435 0.233 O
0.307 0.731 0.038 O
0.396 0.121 0.517 O
0.435 0.202 0.154 O
0.565 0.798 0.846 O
0.604 0.879 0.483 O
0.693 0.269 0.962 O
0.719 0.565 0.767 O
0.731 0.693 0.424 O
0.798 0.952 0.233 O
0.879 0.396 0.275 O
0.952 0.719 0.154 O

=====

SCAN Na4Si3Sn2O12, PBEsol geometry; formation energy without anion corrections = -235.27 kJ per mole of atoms; total magnetic moment = 0.00 μB/cell; uncorrected energy = -11.654 eV/atom
1.0
4.549 2.626 7.301
-4.549 2.626 7.301
0.000 -5.253 7.301
Na Si Sn O
8 6 4 24
Direct
0.000 0.000 0.000 Na
0.118 0.750 0.382 Na
0.250 0.618 0.882 Na
0.382 0.118 0.750 Na
0.500 0.500 0.500 Na
0.618 0.882 0.250 Na
0.750 0.382 0.118 Na
0.882 0.250 0.618 Na
0.045 0.455 0.750 Si
0.250 0.955 0.545 Si
0.455 0.750 0.045 Si
0.545 0.250 0.955 Si
0.750 0.045 0.455 Si
0.955 0.545 0.250 Si
0.146 0.146 0.146 Sn
0.354 0.354 0.354 Sn
0.646 0.646 0.646 Sn
0.854 0.854 0.854 Sn
0.020 0.629 0.785 O
0.064 0.268 0.921 O
0.079 0.936 0.732 O
0.129 0.520 0.285 O
0.215 0.980 0.371 O
0.232 0.436 0.579 O
0.268 0.921 0.064 O
0.285 0.129 0.520 O
0.371 0.215 0.980 O
0.421 0.768 0.564 O
0.436 0.579 0.232 O
0.480 0.715 0.871 O
0.520 0.285 0.129 O
0.564 0.421 0.768 O
0.579 0.232 0.436 O
0.629 0.785 0.020 O
0.715 0.871 0.480 O
0.732 0.079 0.936 O
0.768 0.564 0.421 O
0.785 0.020 0.629 O
0.871 0.480 0.715 O
0.921 0.064 0.268 O
0.936 0.732 0.079 O
0.980 0.371 0.215 O

=====

SCAN Na4Si5Sn2O17, PBEsol geometry; formation energy without anion corrections = -233.91 kJ per mole of atoms; total magnetic moment = 4.20 μB/cell; uncorrected energy = -11.164 eV/atom
1.0
10.439 -2.621 0.000
10.439 2.621 0.000
-4.902 0.000 12.953
Na Si Sn O
8 10 4 34
Direct
0.024 0.537 0.582 Na
0.033 0.033 0.174 Na
0.051 0.516 0.090 Na
0.456 0.477 0.322 Na
0.463 0.976 0.418 Na
0.484 0.949 0.910 Na
0.523 0.544 0.678 Na
0.967 0.967 0.826 Na
0.503 0.497 0.000 Si
0.573 0.084 0.726 Si
0.599 0.059 0.231 Si
0.633 0.135 0.553 Si
0.635 0.133 0.054 Si
0.865 0.367 0.447 Si
0.867 0.365 0.946 Si
0.916 0.427 0.274 Si
0.941 0.401 0.769 Si
0.994 0.006 0.500 Si
0.096 0.588 0.392 Sn
0.100 0.581 0.885 Sn
0.412 0.904 0.608 Sn
0.419 0.900 0.115 Sn
0.057 0.228 0.170 O
0.087 0.397 0.362 O
0.111 0.775 0.417 O
0.120 0.222 0.522 O
0.120 0.739 0.165 O
0.186 0.096 0.979 O
0.225 0.889 0.583 O
0.249 0.112 0.746 O
0.261 0.880 0.835 O
0.264 0.380 0.749 O
0.274 0.611 0.917 O
0.315 0.412 0.529 O
0.380 0.278 0.980 O
0.389 0.726 0.083 O
0.426 0.092 0.142 O
0.452 0.269 0.331 O
0.588 0.685 0.471 O
0.603 0.913 0.638 O
0.620 0.736 0.251 O
0.626 0.153 0.176 O
0.659 0.267 0.060 O
0.679 0.100 0.675 O
0.722 0.620 0.020 O
0.731 0.548 0.669 O
0.733 0.341 0.940 O
0.767 0.160 0.561 O
0.772 0.943 0.830 O
0.778 0.880 0.478 O
0.840 0.233 0.439 O
0.847 0.374 0.824 O
0.888 0.751 0.254 O
0.900 0.321 0.325 O
0.904 0.814 0.021 O
0.908 0.574 0.858 O

=====

SCAN Na2SrSi2O6, PBEsol geometry; formation energy without anion corrections = -276.56 kJ per mole of atoms; total magnetic moment = 0.00 μB/cell; uncorrected energy = -10.878 eV/atom
1.0
5.443 -5.404 0.000
5.443 5.404 0.000
-0.340 0.000 7.658
Na Sr Si O
6 3 6 18
Direct
0.000 0.000 0.000 Na
0.000 0.500 0.000 Na
0.247 0.247 0.236 Na
0.500 0.000 0.000 Na
0.500 0.500 0.500 Na
0.753 0.753 0.764 Na
0.000 0.000 0.500 Sr
0.000 0.500 0.500 Sr
0.500 0.000 0.500 Sr
0.258 0.714 0.790 Si
0.285 0.285 0.769 Si
0.286 0.742 0.210 Si
0.714 0.258 0.790 Si
0.715 0.715 0.231 Si
0.742 0.286 0.210 Si
0.075 0.770 0.698 O
0.204 0.204 0.937 O
0.213 0.561 0.279 O
0.222 0.222 0.573 O
0.230 0.925 0.302 O
0.238 0.762 0.000 O
0.253 0.499 0.768 O
0.439 0.787 0.721 O
0.499 0.253 0.768 O
0.501 0.747 0.232 O
0.561 0.213 0.279 O
0.747 0.501 0.232 O
0.762 0.238 0.000 O
0.770 0.075 0.698 O
0.778 0.778 0.427 O
0.787 0.439 0.721 O
0.796 0.796 0.063 O
0.925 0.230 0.302 O

=====

SCAN NaTbSi2O6, PBEsol geometry; formation energy without anion corrections = -306.50 kJ per mole of atoms; total magnetic moment = 0.00 μB/cell; uncorrected energy = -14.016 eV/atom
1.0
5.491 0.000 0.000
-1.626 9.213 0.000
-1.192 -4.714 8.375
Na Tb Si O
3 3 6 18
Direct
0.000 0.000 0.000 Na
0.169 0.603 0.937 Na
0.831 0.397 0.063 Na
0.000 0.500 0.500 Tb
0.321 0.777 0.367 Tb
0.679 0.223 0.633 Tb
0.106 0.118 0.367 Si
0.227 0.240 0.874 Si
0.397 0.362 0.252 Si
0.603 0.638 0.748 Si
0.773 0.760 0.126 Si
0.894 0.882 0.633 Si
0.014 0.321 0.833 O
0.033 0.755 0.514 O
0.109 0.035 0.788 O
0.247 0.290 0.064 O
0.262 0.210 0.282 O
0.299 0.049 0.447 O
0.303 0.527 0.362 O
0.303 0.613 0.726 O
0.498 0.287 0.839 O
0.502 0.713 0.161 O
0.697 0.387 0.274 O
0.697 0.473 0.638 O
0.701 0.951 0.553 O
0.738 0.790 0.718 O
0.753 0.710 0.936 O
0.891 0.965 0.212 O
0.967 0.245 0.486 O
0.986 0.679 0.167 O

=====

SCAN NaTbSi2O6, PBEsol geometry; formation energy without anion corrections = -306.74 kJ per mole of atoms; total magnetic moment = 0.00 μB/cell; uncorrected energy = -14.019 eV/atom
1.0
5.430 0.000 0.000
0.000 13.760 0.000
-2.557 0.000 7.163
Na Tb Si O
4 4 8 24
Direct
0.135 0.229 0.052 Na
0.135 0.271 0.552 Na
0.865 0.729 0.448 Na
0.865 0.771 0.948 Na
0.020 0.508 0.752 Tb
0.020 0.992 0.252 Tb
0.980 0.008 0.748 Tb
0.980 0.492 0.248 Tb
0.418 0.637 0.068 Si
0.418 0.863 0.568 Si
0.429 0.640 0.642 Si
0.429 0.860 0.142 Si
0.571 0.140 0.858 Si
0.571 0.360 0.358 Si
0.582 0.137 0.432 Si
0.582 0.363 0.932 Si
0.197 0.562 0.081 O
0.197 0.938 0.581 O
0.211 0.566 0.514 O
0.211 0.934 0.014 O
0.265 0.135 0.833 O
0.265 0.365 0.333 O
0.285 0.123 0.301 O
0.285 0.377 0.801 O
0.314 0.749 0.080 O
0.314 0.751 0.580 O
0.385 0.621 0.844 O
0.385 0.879 0.344 O
0.615 0.121 0.656 O
0.615 0.379 0.156 O
0.686 0.249 0.420 O
0.686 0.251 0.920 O
0.715 0.623 0.199 O
0.715 0.877 0.699 O
0.735 0.635 0.667 O
0.735 0.865 0.167 O
0.789 0.066 0.986 O
0.789 0.434 0.486 O
0.803 0.062 0.419 O
0.803 0.438 0.919 O